# 1
The following is a DFT calculation (GGA-PBE) of MnHRuAu after structural relaxation.

Output
The calculation puts the electronic total energy at -5.94 eV/atom. As for the crystal system: monoclinic. For the polymorph energy (0 for the lowest one), the calculation gives 192 meV per atom.

a = 7.4693 Å, b = 2.7660 Å, c = 4.8349 Å
α = 90.00°, β = 103.76°, γ = 90.00°
Closest atoms and distances in Å follow each position.
Fractional coordinates of all 8 atoms:
Mn 0.5114 0.0000 0.7763  3 H 1.70
Mn 0.5114 0.5000 0.2763  3 H 1.70
H 0.4348 0.0000 0.0806  3 Mn 1.70
H 0.4348 0.5000 0.5806  3 Mn 1.70
Ru 0.8096 0.0000 0.8613  1 Mn 2.17
Ru 0.8096 0.5000 0.3613  1 Mn 2.17
Au 0.1495 0.0000 0.3116  3 H 2.61-2.63, 6 Au 2.77-2.79, 1 Ru 2.93
Au 0.1495 0.5000 0.8116  3 H 2.61-2.63, 6 Au 2.77-2.79, 1 Ru 2.93

# 2
The following is a DFT calculation (GGA-PBE) of MnZnBr2 after structural relaxation.

Output
The calculation puts the electronic total energy at -3.66 eV/atom. As for the crystal system: monoclinic. For the polymorph energy (0 for the lowest one), the calculation gives 138 meV per atom.

a = 3.6354 Å, b = 4.1474 Å, c = 9.3637 Å
α = 79.51°, β = 90.00°, γ = 90.00°
Closest atoms and distances in Å follow each position.
Fractional coordinates of all 4 atoms:
Br 0.0000 0.1039 0.0781  2 Mn 2.57
Br 0.0000 0.3961 0.4219  2 Mn 2.57
Mn 0.5000 0.2500 0.2500  4 Br 2.57
Zn 0.5000 0.7500 0.7500  2 Zn 3.64, 4 Br 4.07